VASP calculation (SCAN) on Ba2YGaTe5 at its PBEsol-relaxed geometry.

E   -35.846 eV/atom
Crystal system   orthorhombic
Formation energy (no corrections)   -140.1 kJ/mol of atoms

```
data_Ba2YGaTe5
_cell_length_a 4.445
_cell_length_b 20.052
_cell_length_c 13.910
_cell_angle_alpha 90.00
_cell_angle_beta 90.00
_cell_angle_gamma 90.00
_symmetry_space_group_name_H-M 'C m c 21'
_symmetry_Int_Tables_number 36
loop_
_symmetry_equiv_pos_as_xyz
'x,y,z'
'-x,-y,z+1/2'
'-x,y,z'
'x,-y,z+1/2'
'x+1/2,y+1/2,z'
'-x+1/2,-y+1/2,z+1/2'
'-x+1/2,y+1/2,z'
'x+1/2,-y+1/2,z+1/2'
loop_
_atom_site_label
_atom_site_fract_x
_atom_site_fract_y
_atom_site_fract_z
_atom_site_occupancy
Ba1 0.000 0.121 0.000 1
Ba2 0.000 0.127 0.365 1
Y1 0.000 0.206 0.665 1
Ga1 0.000 0.440 0.255 1
Te1 0.000 0.046 0.644 1
Te2 0.000 0.295 0.019 1
Te3 0.000 0.312 0.319 1
Te4 0.000 0.353 0.681 1
Te5 0.000 0.499 0.919 1
```

=====

VASP calculation (SCAN) on Ba4RuPt at its PBEsol-relaxed geometry.

E   -42.776 eV/atom
ΔE_f   1.094 eV/atom
Crystal system   cubic

```
data_Ba4RuPt
_cell_length_a 9.143
_cell_length_b 9.143
_cell_length_c 9.143
_cell_angle_alpha 90.00
_cell_angle_beta 90.00
_cell_angle_gamma 90.00
_symmetry_space_group_name_H-M 'F -4 3 m'
_symmetry_Int_Tables_number 216
_symmetry_space_group_name_Hall 'F -4 2 3'
loop_
_atom_site_label
_atom_site_fract_x
_atom_site_fract_y
_atom_site_fract_z
_atom_site_occupancy
Ba1 0.125 0.125 0.125 1
Ru1 0.250 0.250 0.750 1
Pt1 0.000 0.000 0.500 1
```

=====

VASP calculation (SCAN) on CuMo2Os at its PBEsol-relaxed geometry.

E   -39.076 eV/atom
Offset from the most stable computed form   0.000 eV/atom
ΔE_f   0.136 eV/atom
Crystal system   tetragonal

```
data_CuMo2Os
_cell_length_a 3.796
_cell_length_b 3.796
_cell_length_c 3.871
_cell_angle_alpha 90.00
_cell_angle_beta 90.00
_cell_angle_gamma 90.00
_symmetry_space_group_name_H-M 'P 4/m m m'
_symmetry_Int_Tables_number 123
_symmetry_space_group_name_Hall '-P 4 2'
loop_
_atom_site_label
_atom_site_fract_x
_atom_site_fract_y
_atom_site_fract_z
_atom_site_occupancy
Cu1 0.000 0.000 0.000 1
Mo1 0.000 0.500 0.500 1
Os1 0.500 0.500 0.000 1
```

=====

VASP calculation (SCAN) on CsPbSCl2 at its PBEsol-relaxed geometry.

E   -29.016 eV/atom
Offset from the most stable computed form   0.000 eV/atom
Crystal system   tetragonal
Formation energy (no corrections)   -114.0 kJ/mol of atoms

```
data_CsPbSCl2
_cell_length_a 5.556
_cell_length_b 5.556
_cell_length_c 5.114
_cell_angle_alpha 90.00
_cell_angle_beta 90.00
_cell_angle_gamma 90.00
_symmetry_space_group_name_H-M 'P 4/m m m'
_symmetry_Int_Tables_number 123
_symmetry_space_group_name_Hall '-P 4 2'
loop_
_atom_site_label
_atom_site_fract_x
_atom_site_fract_y
_atom_site_fract_z
_atom_site_occupancy
Cs1 0.000 0.000 0.000 1
Pb1 0.500 0.500 0.500 1
S1 0.500 0.500 0.000 1
Cl1 0.000 0.500 0.500 1
```

=====

VASP calculation (SCAN) on ScHg2Se at its PBEsol-relaxed geometry.

E   -43.011 eV/atom
Crystal system   tetragonal
Formation energy (no corrections)   -33.6 kJ/mol of atoms

```
data_ScHg2Se
_cell_length_a 3.917
_cell_length_b 3.917
_cell_length_c 5.597
_cell_angle_alpha 90.00
_cell_angle_beta 90.00
_cell_angle_gamma 90.00
_symmetry_space_group_name_H-M 'P 4/m m m'
_symmetry_Int_Tables_number 123
_symmetry_space_group_name_Hall '-P 4 2'
loop_
_atom_site_label
_atom_site_fract_x
_atom_site_fract_y
_atom_site_fract_z
_atom_site_occupancy
Sc1 0.000 0.000 0.000 1
Hg1 0.500 0.500 0.249 1
Se1 0.000 0.000 0.500 1
```

=====

VASP calculation (SCAN) on CdCu3 at its PBEsol-relaxed geometry.

E   -18.920 eV/atom
ΔE_f   0.084 eV/atom
Crystal system   orthorhombic

```
data_CdCu3
_cell_length_a 3.779
_cell_length_b 3.835
_cell_length_c 7.341
_cell_angle_alpha 90.00
_cell_angle_beta 90.00
_cell_angle_gamma 90.00
_symmetry_space_group_name_H-M 'I m m m'
_symmetry_Int_Tables_number 71
_symmetry_space_group_name_Hall '-I 2 2'
loop_
_atom_site_label
_atom_site_fract_x
_atom_site_fract_y
_atom_site_fract_z
_atom_site_occupancy
Cd1 0.000 0.000 0.000 1
Cu1 0.000 0.000 0.500 1
Cu2 0.000 0.500 0.249 1
```

=====

VASP calculation (SCAN) on BaSbW2 at its PBEsol-relaxed geometry.

E   -52.377 eV/atom
Crystal system   orthorhombic
Formation energy (no corrections)   161.1 kJ/mol of atoms

```
data_BaSbW2
_cell_length_a 3.617
_cell_length_b 4.797
_cell_length_c 4.973
_cell_angle_alpha 90.00
_cell_angle_beta 90.00
_cell_angle_gamma 90.00
_symmetry_space_group_name_H-M 'P m m m'
_symmetry_Int_Tables_number 47
loop_
_symmetry_equiv_pos_as_xyz
'x,y,z'
'-x,-y,-z'
'-x,-y,z'
'x,y,-z'
'x,-y,-z'
'-x,y,z'
'-x,y,-z'
'x,-y,z'
loop_
_atom_site_label
_atom_site_fract_x
_atom_site_fract_y
_atom_site_fract_z
_atom_site_occupancy
Ba1 0.000 0.000 0.000 1
Sb1 0.500 0.000 0.500 1
W1 0.000 0.500 0.500 1
W2 0.500 0.500 0.000 1
```

=====

VASP calculation (SCAN) on Pr3Ag4Sn4 at its PBEsol-relaxed geometry.

E   -36.938 eV/atom
ΔE_f   -0.653 eV/atom
Crystal system   orthorhombic

```
data_Pr3Ag4Sn4
_cell_length_a 4.633
_cell_length_b 7.297
_cell_length_c 15.384
_cell_angle_alpha 90.00
_cell_angle_beta 90.00
_cell_angle_gamma 90.00
_symmetry_space_group_name_H-M 'I m m m'
_symmetry_Int_Tables_number 71
_symmetry_space_group_name_Hall '-I 2 2'
loop_
_atom_site_label
_atom_site_fract_x
_atom_site_fract_y
_atom_site_fract_z
_atom_site_occupancy
Pr1 0.000 0.000 0.000 1
Pr2 0.000 0.500 0.130 1
Ag1 0.000 0.306 0.330 1
Sn1 0.000 0.000 0.216 1
Sn2 0.000 0.195 0.500 1
```

=====

VASP calculation (SCAN) on Ca2CoTe at its PBEsol-relaxed geometry.

E   -19.048 eV/atom
Crystal system   orthorhombic
Formation energy (no corrections)   -55.7 kJ/mol of atoms

```
data_Ca2CoTe
_cell_length_a 4.162
_cell_length_b 4.225
_cell_length_c 11.200
_cell_angle_alpha 90.00
_cell_angle_beta 90.00
_cell_angle_gamma 90.00
_symmetry_space_group_name_H-M 'A m m 2'
_symmetry_Int_Tables_number 38
loop_
_symmetry_equiv_pos_as_xyz
'x,y,z'
'-x,-y,z'
'-x,y,z'
'x,-y,z'
'x,y+1/2,z+1/2'
'-x,-y+1/2,z+1/2'
'-x,y+1/2,z+1/2'
'x,-y+1/2,z+1/2'
loop_
_atom_site_label
_atom_site_fract_x
_atom_site_fract_y
_atom_site_fract_z
_atom_site_occupancy
Ca1 0.000 0.000 0.000 1
Ca2 0.500 0.000 0.292 1
Co1 0.000 0.000 0.721 1
Te1 0.500 0.000 0.585 1
```

=====

VASP calculation (SCAN) on Ag2TeRu at its PBEsol-relaxed geometry.

E   -33.181 eV/atom
Crystal system   orthorhombic
Formation energy (no corrections)   50.3 kJ/mol of atoms

```
data_Ag2TeRu
_cell_length_a 5.291
_cell_length_b 8.785
_cell_length_c 3.054
_cell_angle_alpha 90.00
_cell_angle_beta 90.00
_cell_angle_gamma 90.00
_symmetry_space_group_name_H-M 'C m m m'
_symmetry_Int_Tables_number 65
_symmetry_space_group_name_Hall '-C 2 2'
loop_
_atom_site_label
_atom_site_fract_x
_atom_site_fract_y
_atom_site_fract_z
_atom_site_occupancy
Ag1 0.250 0.250 0.000 1
Te1 0.000 0.000 0.500 1
Ru1 0.000 0.500 0.500 1
```

=====

VASP calculation (SCAN) on TaTl2Zn at its PBEsol-relaxed geometry.

E   -55.613 eV/atom
Offset from the most stable computed form   0.035 eV/atom
ΔE_f   0.591 eV/atom
Crystal system   monoclinic

```
data_TaTl2Zn
_cell_length_a 10.177
_cell_length_b 3.135
_cell_length_c 5.196
_cell_angle_alpha 90.00
_cell_angle_beta 105.86
_cell_angle_gamma 90.00
_symmetry_space_group_name_H-M 'C 1 2/m 1'
_symmetry_Int_Tables_number 12
loop_
_symmetry_equiv_pos_as_xyz
'x,y,z'
'-x,-y,-z'
'-x,y,-z'
'x,-y,z'
'x+1/2,y+1/2,z'
'-x+1/2,-y+1/2,-z'
'-x+1/2,y+1/2,-z'
'x+1/2,-y+1/2,z'
loop_
_atom_site_label
_atom_site_fract_x
_atom_site_fract_y
_atom_site_fract_z
_atom_site_occupancy
Ta1 0.000 0.000 0.000 1
Tl1 0.244 0.000 0.749 1
Zn1 0.000 0.500 0.500 1
```

=====

VASP calculation (SCAN) on InAgPt at its PBEsol-relaxed geometry.

E   -45.014 eV/atom
ΔE_f   -0.032 eV/atom
Crystal system   cubic

```
data_InAgPt
_cell_length_a 6.210
_cell_length_b 6.210
_cell_length_c 6.210
_cell_angle_alpha 90.00
_cell_angle_beta 90.00
_cell_angle_gamma 90.00
_symmetry_space_group_name_H-M 'F -4 3 m'
_symmetry_Int_Tables_number 216
_symmetry_space_group_name_Hall 'F -4 2 3'
loop_
_atom_site_label
_atom_site_fract_x
_atom_site_fract_y
_atom_site_fract_z
_atom_site_occupancy
In1 0.000 0.000 0.000 1
Ag1 0.250 0.250 0.250 1
Pt1 0.250 0.250 0.750 1
```